Entry 1:
A plane-wave DFT calculation with PBE-GGA was carried out for TaSiBr after structural relaxation.

Cell lengths 4.5747, 4.5747, 2.9816 Å; angles 90.00, 90.00, 120.00 degrees
Last column: nearest neighbours and their distance in Å.
Space group P-6m2 (No. 187)
One atom of each set of equivalent atoms:
Ta1 0.0000 0.0000 0.0000 [1 per cell]  3 Br 2.64
Si1 0.3333 0.6667 0.5000 [1 per cell]  2 Si 2.98, 6 Ta 3.03, 6 Br 3.03
Br1 0.6667 0.3333 0.0000 [1 per cell]  3 Ta 2.64

Values from the calculation:
- formation energy (no corrections) (eV per atom) = 0.3688
- raw total energy (eV per atom) = -5.9474
- N(E_F) (states/eV per atom) = 0.645
- crystal system = hexagonal



Entry 2:
A plane-wave DFT calculation with PBE-GGA was carried out for Sr6Ca3Ac after structural relaxation.

Cell lengths 10.9092, 6.7242, 14.2436 Å; angles 90.00, 108.62, 90.00 degrees
Last column: nearest neighbours and their distance in Å.
Space group P2_1/m (No. 11)
One atom of each set of equivalent atoms:
Sr1 0.0004 0.2500 0.1651 [2 per cell]  5 Ca 4.08-4.15, 6 Sr 4.08-4.16, 1 Ac 4.18
Sr2 0.0021 0.7500 0.3356 [2 per cell]  4 Ca 4.10-4.16, 8 Sr 4.13-4.21
Sr3 0.2042 0.7500 0.6349 [2 per cell]  7 Sr 4.10-4.14, 1 Ac 4.14, 4 Ca 4.14-4.20
Sr4 0.2049 0.2500 0.9699 [2 per cell]  4 Ca 4.02-4.27, 3 Ac 4.05-4.11, 5 Sr 4.08-4.21
Sr5 0.4019 0.7500 0.4334 [2 per cell]  5 Sr 4.09-4.13, 7 Ca 4.10-4.18
Sr6 0.4052 0.2500 0.7701 [2 per cell]  4 Ca 4.00-4.23, 3 Ac 4.04-4.11, 5 Sr 4.09-4.21
Ca1 0.2016 0.2500 0.4629 [2 per cell]  1 Ca 4.05, 11 Sr 4.10-4.23
Ca2 0.2077 0.7500 0.1348 [2 per cell]  9 Sr 4.00-4.27, 2 Ca 4.05, 1 Ac 4.06
Ca3 0.3951 0.2500 0.2629 [2 per cell]  8 Sr 4.02-4.18, 3 Ca 4.05, 1 Ac 4.10
Ac1 0.4035 0.7500 0.9357 [2 per cell]  8 Sr 4.04-4.18, 2 Ca 4.06-4.10, 2 Ac 4.08

Values from the calculation:
- raw total energy (eV per atom) = -1.9874
- N(E_F) (states/eV per atom) = 1.272
- DFT formation energy (eV per atom) = 0.033
- crystal system = monoclinic



Entry 3:
A plane-wave DFT calculation with PBE-GGA was carried out for Nd7Sm12Dy after structural relaxation.

Cell lengths 11.5384, 11.5384, 11.5384 Å; angles 90.00, 90.00, 90.00 degrees
Last column: nearest neighbours and their distance in Å.
Space group Im-3m (No. 229)
One atom of each set of equivalent atoms:
Nd1 0.0000 0.0000 0.5000 [6 per cell]  12 Sm 4.08-4.13
Nd2 0.2500 0.2500 0.2500 [8 per cell]  6 Sm 2.89
Sm1 0.0000 0.2469 0.2469 [24 per cell]  2 Nd 2.89
Dy1 0.0000 0.0000 0.0000 [2 per cell]  12 Sm 4.03

Values from the calculation:
- raw total energy (eV per atom) = -4.1236
- N(E_F) (states/eV per atom) = 1.407
- DFT formation energy (eV per atom) = 0.607
- crystal system = cubic



Entry 4:
A plane-wave DFT calculation with PBE-GGA was carried out for ThPaHgSb after structural relaxation.

Cell lengths 7.5873, 7.5873, 7.5873 Å; angles 90.00, 90.00, 90.00 degrees
Last column: nearest neighbours and their distance in Å.
Space group F-43m (No. 216)
One atom of each set of equivalent atoms:
Th1 0.0000 0.0000 0.0000 [4 per cell]  4 Sb 3.29, 4 Hg 3.29
Pa1 0.0000 0.0000 0.5000 [4 per cell]  4 Hg 3.29, 4 Sb 3.29
Hg1 0.2500 0.2500 0.2500 [4 per cell]  4 Th 3.29, 4 Pa 3.29
Sb1 0.2500 0.2500 0.7500 [4 per cell]  4 Th 3.29, 4 Pa 3.29

Values from the calculation:
- formation energy (no corrections) (eV per atom) = -0.2072
- raw total energy (eV per atom) = -5.5422
- N(E_F) (states/eV per atom) = 2.017
- crystal system = cubic



Entry 5:
A plane-wave DFT calculation with PBE-GGA was carried out for LiSnN after structural relaxation.

Cell lengths 3.6384, 3.6384, 4.2363 Å; angles 90.00, 90.00, 120.00 degrees
Last column: nearest neighbours and their distance in Å.
Space group P-6m2 (No. 187)
One atom of each set of equivalent atoms:
Li1 0.0000 0.0000 0.0000 [1 per cell]  3 N 2.10
Sn1 0.6667 0.3333 0.5000 [1 per cell]  2 N 2.12
N1 0.6667 0.3333 0.0000 [1 per cell]  3 Li 2.10, 2 Sn 2.12

Values from the calculation:
- formation energy (no corrections) (eV per atom) = 0.0947
- raw total energy (eV per atom) = -4.6527
- N(E_F) (states/eV per atom) = 0.076
- crystal system = hexagonal



Entry 6:
A plane-wave DFT calculation with PBE-GGA was carried out for Cs3Nd2TlO6 after structural relaxation.

Cell lengths 6.3643, 11.0083, 7.2557 Å; angles 90.00, 107.05, 90.00 degrees
Last column: nearest neighbours and their distance in Å.
Space group C2/m (No. 12)
One atom of each set of equivalent atoms:
Cs1 0.0000 0.0000 0.0000 [2 per cell]  6 O 3.09-3.10
Cs2 0.0000 0.3356 0.0000 [4 per cell]  6 O 3.08-3.12
Nd1 0.0000 0.1666 0.5000 [4 per cell]  6 O 2.44
Tl1 0.0000 0.5000 0.5000 [2 per cell]  6 O 2.44-2.45
O1 0.2234 0.0000 0.6749 [4 per cell]  2 Nd 2.44, 1 Tl 2.45
O2 0.2246 0.3335 0.6733 [8 per cell]  1 Tl 2.44, 2 Nd 2.44

Values from the calculation:
- formation energy (no corrections) (eV per atom) = -1.9418
- raw total energy (eV per atom) = -5.6261
- N(E_F) (states/eV per atom) = 0.000
- crystal system = monoclinic